Model one:
VASP calculation (PBE-GGA) on crystalline PrTm4Cd at its relaxed geometry. Values from VASP.

```
&SYSTEM
  ibrav = 0, nat = 12, ntyp = 3
/
ATOMIC_SPECIES
Pr 140.91 Pr.upf
Tm 168.93 Tm.upf
Cd 112.41 Cd.upf
CELL_PARAMETERS angstrom
2.7236 -7.4987 0.0000
2.7236 7.4987 0.0000
0.0000 0.0000 9.1516
ATOMIC_POSITIONS angstrom
Pr 2.7236 5.5922 4.5758
Pr 2.7236 -5.5922 0.0000
Tm 2.7236 6.0589 1.2502
Tm 2.7236 3.6260 7.6798
Tm 2.7236 2.5238 1.6643
Tm 2.7236 0.3183 7.9487
Tm 2.7236 -0.3183 3.3729
Tm 2.7236 -2.5238 6.2401
Tm 2.7236 -3.6260 3.1040
Tm 2.7236 -6.0589 5.8260
Cd 2.7236 2.4675 4.8312
Cd 2.7236 -2.4675 0.2554
```

The value obtained for the density is 8.3 g/cm³. Its density of states at the Fermi level is 1.207 states/eV per atom. As for the space group: Cmc2_1.

Model two:
VASP calculation (PBE-GGA) on crystalline PrTm4Cd at its relaxed geometry. Values from VASP.

```
&SYSTEM
  ibrav = 0, nat = 6, ntyp = 3
/
ATOMIC_SPECIES
Pr 140.91 Pr.upf
Tm 168.93 Tm.upf
Cd 112.41 Cd.upf
CELL_PARAMETERS angstrom
3.5573 0.0000 0.0000
0.0000 3.5573 0.0000
0.0000 0.0000 14.0452
ATOMIC_POSITIONS angstrom
Pr 0.0000 0.0000 0.0000
Tm 0.0000 0.0000 4.9879
Tm 0.0000 0.0000 9.0572
Tm 1.7786 1.7786 2.5441
Tm 1.7786 1.7786 11.5011
Cd 1.7786 1.7786 7.0226
```

The value obtained for the density is 8.7 g/cm³. Its density of states at the Fermi level is 1.463 states/eV per atom. As for the space group: P4/mmm.

model two wins, 239 meV per atom ahead of the next structure.

Model one:
VASP calculation (PBE-GGA) on crystalline Pr3TmCd2 at its relaxed geometry. Values from VASP.

```
&SYSTEM
  ibrav = 0, nat = 12, ntyp = 3
/
ATOMIC_SPECIES
Pr 140.91 Pr.upf
Tm 168.93 Tm.upf
Cd 112.41 Cd.upf
CELL_PARAMETERS angstrom
5.0242 0.0000 0.0000
0.0000 15.0134 0.0000
0.0000 0.0000 4.7768
ATOMIC_POSITIONS angstrom
Pr 0.0000 0.0000 0.0000
Pr 0.0000 4.9281 0.0000
Pr 0.0000 10.0853 0.0000
Pr 2.5121 2.5786 0.0000
Pr 2.5121 7.5067 0.0000
Pr 2.5121 12.4348 0.0000
Tm 0.0000 7.5067 2.3884
Tm 2.5121 0.0000 2.3884
Cd 0.0000 2.4363 2.3884
Cd 0.0000 12.5771 2.3884
Cd 2.5121 5.0704 2.3884
Cd 2.5121 9.9430 2.3884
```

The value obtained for the density is 7.5 g/cm³. Its density of states at the Fermi level is 1.165 states/eV per atom. As for the space group: Cmmm.

Model two:
VASP calculation (PBE-GGA) on crystalline Pr3TmCd2 at its relaxed geometry. Values from VASP.

```
&SYSTEM
  ibrav = 0, nat = 6, ntyp = 3
/
ATOMIC_SPECIES
Pr 140.91 Pr.upf
Tm 168.93 Tm.upf
Cd 112.41 Cd.upf
CELL_PARAMETERS angstrom
3.8093 0.0000 0.0000
0.0000 3.8093 0.0000
0.0000 0.0000 12.7005
ATOMIC_POSITIONS angstrom
Pr 0.0000 0.0000 0.0000
Pr 0.0000 0.0000 3.9791
Pr 0.0000 0.0000 8.7214
Tm 1.9047 1.9047 6.3502
Cd 1.9047 1.9047 2.0158
Cd 1.9047 1.9047 10.6847
```

The value obtained for the density is 7.4 g/cm³. Its density of states at the Fermi level is 1.377 states/eV per atom. As for the space group: P4/mmm.

model two wins, 49 meV per atom ahead of the next structure.